Entry 1:
RbSb2SeS2 | GGA-PBE | optimized geometry

Output
Its formation energy without anion corrections is -238 kJ/mol of formula units. For the magnetic moment, the calculation gives 0.00 μB per atom.

Unit cell a=6.6108 b=7.3984 c=9.5259 alpha=90.00 beta=97.18 gamma=90.00
With the nearest neighbours (Å) after each atom.
Element x y z (fractional)
Rb (0.2085, 0.2500, 0.3591)  3 S 3.34-3.44, 1 Se 3.49
Rb (0.7915, 0.7500, 0.6409)  3 S 3.34-3.44, 1 Se 3.49
Sb (0.2721, 0.5052, 0.9098)  3 S 2.59-2.82, 1 Se 2.68
Sb (0.2721, 0.9948, 0.9098)  3 S 2.59-2.82, 1 Se 2.68
Sb (0.7279, 0.0052, 0.0902)  3 S 2.59-2.82, 1 Se 2.68
Sb (0.7279, 0.4948, 0.0902)  3 S 2.59-2.82, 1 Se 2.68
Se (0.3498, 0.2500, 0.7247)  2 Sb 2.68
Se (0.6502, 0.7500, 0.2753)  2 Sb 2.68
S (0.0216, 0.2500, 0.0140)  4 Sb 2.78-2.82
S (0.3141, 0.7500, 0.7214)  2 Sb 2.59
S (0.6859, 0.2500, 0.2786)  2 Sb 2.59
S (0.9784, 0.7500, 0.9860)  4 Sb 2.78-2.82


Entry 2:
RbSb2Se2S | GGA-PBE | optimized geometry

Output
Its formation energy without anion corrections is -225 kJ/mol of formula units. For the magnetic moment, the calculation gives 0.00 μB per atom.

Unit cell a=7.1508 b=7.2322 c=8.6543 alpha=90.00 beta=100.88 gamma=90.00
With the nearest neighbours (Å) after each atom.
Element x y z (fractional)
Rb (0.0506, 0.2500, 0.3096)  1 S 3.46, 2 Se 3.51-3.74
Rb (0.9494, 0.7500, 0.6904)  1 S 3.46, 2 Se 3.51-3.74
Sb (0.4634, 0.0089, 0.7559)  2 Se 2.65-2.82, 1 S 2.65
Sb (0.4634, 0.4911, 0.7559)  2 Se 2.65-2.82, 1 S 2.65
Sb (0.5366, 0.5089, 0.2441)  2 Se 2.65-2.82, 1 S 2.65
Sb (0.5366, 0.9911, 0.2441)  2 Se 2.65-2.82, 1 S 2.65
Se (0.1801, 0.2500, 0.7217)  2 Sb 2.65
Se (0.3841, 0.7500, 0.5093)  2 Sb 2.82
Se (0.6159, 0.2500, 0.4907)  2 Sb 2.82
Se (0.8199, 0.7500, 0.2783)  2 Sb 2.65
S (0.3813, 0.7500, 0.9498)  2 Sb 2.65
S (0.6187, 0.2500, 0.0502)  2 Sb 2.65